1.
The following is a DFT calculation (PBE) of Hf3TiPb2 after structural relaxation.

a = 4.297 Å, b = 7.289 Å, c = 9.940 Å
α = 82.71°, β = 64.36°, γ = 72.97°
Atoms (fractional coordinates):
Hf1 0.399 0.663 0.770
Hf2 0.260 0.000 0.240
Hf3 0.601 0.337 0.230
Hf4 0.938 0.663 0.231
Hf5 0.062 0.337 0.769
Hf6 0.740 0.000 0.760
Ti1 0.672 0.653 0.000
Ti2 0.328 0.347 0.000
Pb1 0.000 0.000 0.000
Pb2 0.500 0.000 0.500
Pb3 0.168 0.665 0.500
Pb4 0.832 0.335 0.500

Space-group type: P2/m, No. 10
DOS(E_F) (states/eV/f.u.): 4.3
Total moment (Bohr magnetons per cell): 0.0
Total energy (eV/atom): -7.49

2.
The following is a DFT calculation (PBE) of TlBiRh2S after structural relaxation.

a = 5.046 Å, b = 4.903 Å, c = 5.046 Å
α = 90.00°, β = 90.00°, γ = 90.00°
Atoms (fractional coordinates):
S1 0.000 0.500 0.000
Tl1 0.000 0.000 0.000
Rh1 0.000 0.000 0.500
Rh2 0.500 0.000 0.000
Bi1 0.500 0.500 0.500

Space-group type: P4/mmm, No. 123
DOS(E_F) (states/eV/f.u.): 1.4
Formation energy (no corrections) (meV/atom): 1098
Total moment (Bohr magnetons per cell): 0.0
Total energy (eV/atom): -3.92

3.
The following is a DFT calculation (PBE) of SrLaW2 after structural relaxation.

a = 4.471 Å, b = 4.471 Å, c = 8.495 Å
α = 86.58°, β = 86.58°, γ = 44.04°
Atoms (fractional coordinates):
La1 0.482 0.482 0.589
Sr1 0.266 0.266 0.177
W1 0.017 0.017 0.922
W2 0.735 0.735 0.812

Space-group type: Cm, No. 8
DOS(E_F) (states/eV/f.u.): 4.0
Total moment (Bohr magnetons per cell): 0.0
Total energy (eV/atom): -7.40

4.
The following is a DFT calculation (PBE) of YCuOs2 after structural relaxation.

a = 5.508 Å, b = 5.508 Å, c = 5.508 Å
α = 147.85°, β = 129.85°, γ = 60.83°
Atoms (fractional coordinates):
Cu1 0.227 0.727 0.500
Os1 0.996 0.996 0.000
Os2 0.774 0.274 0.500
Y1 0.502 0.502 0.000

Space-group type: Imm2, No. 44
DOS(E_F) (states/eV/f.u.): 3.3
Total moment (Bohr magnetons per cell): 0.0
Total energy (eV/atom): -7.89